No. 1
## CuBP2S (PBEsol)

Data for a geometry-optimized CuBP2S structure. Values from VASP.

Values from the calculation:
Raw formation energy ... 1.5787 eV per atom
Fermi-level density of states ... 3.2 states/eV/cell
E above lowest polymorph ... 0.733 eV/atom
Calculated total energy ... -3.88 eV per atom

Structure (Quantum ESPRESSO input):
```
&SYSTEM
  ibrav = 0, nat = 5, ntyp = 4
/
ATOMIC_SPECIES
P 30.97 P.upf
S 32.06 S.upf
B 10.81 B.upf
Cu 63.55 Cu.upf
CELL_PARAMETERS angstrom
-0.700 3.449 -2.570
0.098 -2.591 -3.503
-4.493 -0.649 0.354
ATOMIC_POSITIONS crystal
P 0.000 0.500 0.000
P 0.500 0.000 0.000
S 0.000 0.000 0.500
B 0.500 0.500 0.500
Cu 0.000 0.000 0.000
```

No. 2
## TcPt3S (PBEsol)

Data for a geometry-optimized TcPt3S structure. Values from VASP.

Values from the calculation:
Raw formation energy ... 0.8074 eV per atom
Fermi-level density of states ... 2.8 states/eV/cell
Calculated total energy ... -6.50 eV per atom

Structure (Quantum ESPRESSO input):
```
&SYSTEM
  ibrav = 0, nat = 5, ntyp = 3
/
ATOMIC_SPECIES
S 32.06 S.upf
Tc 98.00 Tc.upf
Pt 195.08 Pt.upf
CELL_PARAMETERS angstrom
4.432 0.000 0.000
0.000 4.432 0.000
0.000 0.000 4.432
ATOMIC_POSITIONS crystal
S 0.000 0.000 0.000
Tc 0.500 0.500 0.500
Pt 0.000 0.500 0.000
Pt 0.000 0.000 0.500
Pt 0.500 0.000 0.000
```

No. 3
## Hf3GeOs (PBEsol)

Data for a geometry-optimized Hf3GeOs structure. Values from VASP.

Values from the calculation:
Fermi-level density of states ... 6.9 states/eV/cell
Calculated total energy ... -8.86 eV per atom

Structure (Quantum ESPRESSO input):
```
&SYSTEM
  ibrav = 0, nat = 5, ntyp = 3
/
ATOMIC_SPECIES
Hf 178.49 Hf.upf
Ge 72.64 Ge.upf
Os 190.23 Os.upf
CELL_PARAMETERS angstrom
-3.596 3.132 -0.173
-0.269 -0.571 -4.729
-3.125 -3.554 0.607
ATOMIC_POSITIONS crystal
Hf 0.000 0.500 0.000
Hf 0.000 0.000 0.500
Hf 0.500 0.000 0.000
Ge 0.000 0.000 0.000
Os 0.500 0.500 0.500
```